# 1
The following is a GGA-PBE calculation of a geometry-optimized BaZrGa structure, from OQMD via LeMat-Bulk.

Lattice parameters (Å, degrees): 7.272 7.272 7.272 90.00 90.00 90.00
Space group F-43m (No. 216)
Symmetry-distinct sites (fractional):
Ba 0.000 0.000 0.000 (multiplicity 4)
Zr 0.000 0.000 0.500 (multiplicity 4)
Ga 0.250 0.250 0.250 (multiplicity 4)

ΔE to the lowest computed polymorph	0	kJ/mol of formula units



# 2
The following is a GGA-PBE calculation of a geometry-optimized BaZrGa structure, from OQMD via LeMat-Bulk.

Lattice parameters (Å, degrees): 7.317 7.317 7.317 90.00 90.00 90.00
Space group F-43m (No. 216)
Symmetry-distinct sites (fractional):
Ba 0.000 0.000 0.000 (multiplicity 4)
Zr 0.250 0.250 0.250 (multiplicity 4)
Ga 0.250 0.250 0.750 (multiplicity 4)

ΔE to the lowest computed polymorph	200	kJ/mol of formula units



# 3
The following is a GGA-PBE calculation of a geometry-optimized Ba2Gd structure, from OQMD via LeMat-Bulk.

Lattice parameters (Å, degrees): 8.977 8.977 8.977 90.00 90.00 90.00
Space group Fm-3m (No. 225)
Symmetry-distinct sites (fractional):
Ba 0.250 0.250 0.250 (multiplicity 8)
Gd 0.000 0.000 0.000 (multiplicity 4)

ΔE to the lowest computed polymorph	137	kJ/mol of formula units



# 4
The following is a GGA-PBE calculation of a geometry-optimized Ba2Gd structure, from OQMD via LeMat-Bulk.

Lattice parameters (Å, degrees): 4.158 4.158 17.028 90.00 90.00 90.00
Space group I4/mmm (No. 139)
Symmetry-distinct sites (fractional):
Ba 0.000 0.000 0.153 (multiplicity 4)
Gd 0.000 0.000 0.500 (multiplicity 2)

ΔE to the lowest computed polymorph	0	kJ/mol of formula units



# 5
The following is a GGA-PBE calculation of a geometry-optimized Ba2Gd structure, from OQMD via LeMat-Bulk.

Lattice parameters (Å, degrees): 10.507 10.507 10.507 90.00 90.00 90.00
Space group Fd-3m (No. 227, origin choice 2)
Symmetry-distinct sites (fractional):
Ba 0.000 0.000 0.000 (multiplicity 16)
Gd 0.125 0.125 0.625 (multiplicity 8)

ΔE to the lowest computed polymorph	89	kJ/mol of formula units



# 6
The following is a GGA-PBE calculation of a geometry-optimized BaGd2 structure, from OQMD via LeMat-Bulk.

Lattice parameters (Å, degrees): 13.349 13.349 13.349 90.00 90.00 90.00
Space group Fd-3m (No. 227, origin choice 2)
Symmetry-distinct sites (fractional):
Ba 0.125 0.125 0.125 (multiplicity 8)
Gd 0.000 0.000 0.000 (multiplicity 16)

ΔE to the lowest computed polymorph	672	kJ/mol of formula units



# 7
The following is a GGA-PBE calculation of a geometry-optimized BaGd2 structure, from OQMD via LeMat-Bulk.

Lattice parameters (Å, degrees): 7.869 7.869 7.869 90.00 90.00 90.00
Space group Fm-3m (No. 225)
Symmetry-distinct sites (fractional):
Ba 0.000 0.000 0.000 (multiplicity 4)
Gd 0.250 0.250 0.250 (multiplicity 8)

ΔE to the lowest computed polymorph	183	kJ/mol of formula units



# 8
The following is a GGA-PBE calculation of a geometry-optimized BaGd2 structure, from OQMD via LeMat-Bulk.

Lattice parameters (Å, degrees): 10.040 10.040 10.040 90.00 90.00 90.00
Space group Fd-3m (No. 227, origin choice 2)
Symmetry-distinct sites (fractional):
Ba 0.125 0.125 0.125 (multiplicity 8)
Gd 0.000 0.000 0.500 (multiplicity 16)

ΔE to the lowest computed polymorph	0	kJ/mol of formula units



# 9
The following is a GGA-PBE calculation of a geometry-optimized Ba2Gd structure, from OQMD via LeMat-Bulk.

Lattice parameters (Å, degrees): 14.635 14.635 14.635 90.00 90.00 90.00
Space group Fd-3m (No. 227, origin choice 2)
Symmetry-distinct sites (fractional):
Ba 0.000 0.000 0.000 (multiplicity 16)
Gd 0.125 0.125 0.125 (multiplicity 8)

ΔE to the lowest computed polymorph	409	kJ/mol of formula units



# 10
The following is a GGA-PBE calculation of a geometry-optimized BaGdInO4 structure, from OQMD via LeMat-Bulk.

Lattice parameters (Å, degrees): 13.799 5.875 10.634 90.00 90.00 90.00
Space group Pnma (No. 62)
Symmetry-distinct sites (fractional):
Ba 0.091 0.250 0.110 (multiplicity 4)
Ba 0.216 0.750 0.335 (multiplicity 4)
Gd 0.082 0.250 0.483 (multiplicity 4)
Gd 0.142 0.750 0.689 (multiplicity 4)
In 0.029 0.250 0.779 (multiplicity 4)
In 0.194 0.750 0.978 (multiplicity 4)
O 0.008 0.000 0.634 (multiplicity 8)
O 0.104 0.750 0.136 (multiplicity 4)
O 0.111 0.503 0.871 (multiplicity 8)
O 0.206 0.250 0.309 (multiplicity 4)
O 0.207 0.001 0.555 (multiplicity 8)



# 11
The following is a GGA-PBE calculation of a geometry-optimized K2Ba3Gd3 structure, from OQMD via LeMat-Bulk.

Lattice parameters (Å, degrees): 7.0625 7.0625 28.7054 90.00 90.00 120.00
Space group R-3m (No. 166, hexagonal axes)
Symmetry-distinct sites (fractional):
K 0.0000 0.0000 0.2123 (multiplicity 6)
Ba 0.0000 0.0000 0.0683 (multiplicity 6)
Ba 0.0000 0.0000 0.5000 (multiplicity 3)
Gd 0.0000 0.5000 0.0000 (multiplicity 9)



# 12
The following is a GGA-PBE calculation of a geometry-optimized KBaGdTe3 structure, from OQMD via LeMat-Bulk.

Lattice parameters (Å, degrees): 4.863 15.570 11.980 90.00 90.00 90.00
Space group Cmcm (No. 63)
Symmetry-distinct sites (fractional):
K 0.000 0.031 0.250 (multiplicity 4)
Ba 0.000 0.249 0.750 (multiplicity 4)
Gd 0.000 0.500 0.000 (multiplicity 4)
Te 0.000 0.139 0.029 (multiplicity 8)
Te 0.000 0.408 0.250 (multiplicity 4)



# 13
The following is a GGA-PBE calculation of a geometry-optimized BaLaGd structure, from OQMD via LeMat-Bulk.

Lattice parameters (Å, degrees): 8.288 8.288 8.288 90.00 90.00 90.00
Space group F-43m (No. 216)
Symmetry-distinct sites (fractional):
Ba 0.000 0.000 0.000 (multiplicity 4)
La 0.250 0.250 0.250 (multiplicity 4)
Gd 0.000 0.000 0.500 (multiplicity 4)



# 14
The following is a GGA-PBE calculation of a geometry-optimized BaLiGdTe3 structure, from OQMD via LeMat-Bulk.

Lattice parameters (Å, degrees): 4.556 14.974 11.555 90.00 90.00 90.00
Space group Cmcm (No. 63)
Symmetry-distinct sites (fractional):
Ba 0.000 0.250 0.250 (multiplicity 4)
Li 0.000 0.031 0.750 (multiplicity 4)
Gd 0.000 0.500 0.000 (multiplicity 4)
Te 0.000 0.138 0.556 (multiplicity 8)
Te 0.000 0.427 0.750 (multiplicity 4)

ΔE to the lowest computed polymorph	0	kJ/mol of formula units



# 15
The following is a GGA-PBE calculation of a geometry-optimized BaLiGdTe3 structure, from OQMD via LeMat-Bulk.

Lattice parameters (Å, degrees): 11.571 4.560 15.013 90.00 90.00 90.00
Space group Pnma (No. 62)
Symmetry-distinct sites (fractional):
Ba 0.242 0.250 0.001 (multiplicity 4)
Li 0.242 0.750 0.222 (multiplicity 4)
Gd 0.010 0.750 0.748 (multiplicity 4)
Te 0.050 0.750 0.115 (multiplicity 4)
Te 0.067 0.250 0.612 (multiplicity 4)
Te 0.242 0.250 0.324 (multiplicity 4)

ΔE to the lowest computed polymorph	0	kJ/mol of formula units



# 16
The following is a GGA-PBE calculation of a geometry-optimized BaLiGdTe3 structure, from OQMD via LeMat-Bulk.

Lattice parameters (Å, degrees): 19.382 4.541 9.515 90.00 103.87 90.00
Space group C2/m (No. 12)
Symmetry-distinct sites (fractional):
Ba 0.136 0.000 0.067 (multiplicity 4)
Li 0.006 0.500 0.698 (multiplicity 4)
Gd 0.166 0.000 0.584 (multiplicity 4)
Te 0.000 0.000 0.500 (multiplicity 2)
Te 0.000 0.500 0.000 (multiplicity 2)
Te 0.168 0.500 0.361 (multiplicity 4)
Te 0.174 0.500 0.808 (multiplicity 4)

ΔE to the lowest computed polymorph	13	kJ/mol of formula units



# 17
The following is a GGA-PBE calculation of a geometry-optimized BaGdLu structure, from OQMD via LeMat-Bulk.

Lattice parameters (Å, degrees): 8.146 8.146 8.146 90.00 90.00 90.00
Space group F-43m (No. 216)
Symmetry-distinct sites (fractional):
Ba 0.000 0.000 0.000 (multiplicity 4)
Gd 0.000 0.000 0.500 (multiplicity 4)
Lu 0.250 0.250 0.250 (multiplicity 4)

ΔE to the lowest computed polymorph	0	kJ/mol of formula units



# 18
The following is a GGA-PBE calculation of a geometry-optimized BaGdMg structure, from OQMD via LeMat-Bulk.

Lattice parameters (Å, degrees): 8.052 8.052 8.052 90.00 90.00 90.00
Space group F-43m (No. 216)
Symmetry-distinct sites (fractional):
Ba 0.000 0.000 0.000 (multiplicity 4)
Gd 0.000 0.000 0.500 (multiplicity 4)
Mg 0.250 0.250 0.250 (multiplicity 4)

ΔE to the lowest computed polymorph	0	kJ/mol of formula units



# 19
The following is a GGA-PBE calculation of a geometry-optimized BaGdMgS3 structure, from OQMD via LeMat-Bulk.

Lattice parameters (Å, degrees): 4.070 14.047 10.602 90.00 90.00 90.00
Space group Cmcm (No. 63)
Symmetry-distinct sites (fractional):
Ba 0.000 0.246 0.250 (multiplicity 4)
Gd 0.000 0.500 0.000 (multiplicity 4)
Mg 0.000 0.031 0.750 (multiplicity 4)
S 0.000 0.134 0.568 (multiplicity 8)
S 0.000 0.433 0.750 (multiplicity 4)



# 20
The following is a GGA-PBE calculation of a geometry-optimized BaGdMgSb2 structure, from OQMD via LeMat-Bulk.

Lattice parameters (Å, degrees): 4.862 18.785 7.176 90.00 90.00 90.00
Space group Cmc2_1 (No. 36)
Symmetry-distinct sites (fractional):
Ba 0.000 0.198 0.000 (multiplicity 4)
Gd 0.000 0.014 0.715 (multiplicity 4)
Mg 0.000 0.405 0.892 (multiplicity 4)
Sb 0.000 0.160 0.494 (multiplicity 4)
Sb 0.000 0.441 0.492 (multiplicity 4)



no.,volume (Å³ per atom),E_tot (eV/atom)
1,32.049,-4.0817
2,32.643,-3.3898
3,60.289,-2.1398
4,49.073,-2.6131
5,48.324,-2.3041
6,99.124,-1.1115
7,40.602,-2.8020
8,42.169,-3.4344
9,130.600,-1.2008
10,15.396,-6.7280
11,51.665,-2.4303
12,37.796,-4.0657
13,47.439,-3.0089
14,32.850,-4.4652
15,33.002,-4.4655
16,33.876,-4.4436
17,45.038,-2.8840
18,43.508,-2.2717
19,25.253,-5.1189
20,32.771,-4.1449